Entry 1:
First-principles (meta-GGA SCAN) data for a PBEsol-optimized structure of BeZnRe, as listed in Alexandria via LeMat-Bulk.

Output
Density: 10.18 g cm⁻³
Total DFT energy (no corrections): -85.9 eV/cell
Total moment: 1.1 μB/f.u.
DFT formation energy: 1.0158 eV per atom
V: 14.167 Å³/atom
Relative energy among the computed polymorphs: 85.7 kJ per mole of atoms

abc: 3.9172 3.9172 3.9172
angles: 60.00 60.00 60.00
Last column: nearest neighbours and their distance in Å.
Atoms (fractional coordinates):
Be  0.0000  0.0000  0.0000  4 Zn 2.40
Zn  0.2500  0.2500  0.2500  4 Re 2.40, 4 Be 2.40
Re  0.5000  0.5000  0.5000  4 Zn 2.40



Entry 2:
First-principles (meta-GGA SCAN) data for a PBEsol-optimized structure of CrRu3W, as listed in Alexandria via LeMat-Bulk.

Output
Density: 9.24 g cm⁻³
Total DFT energy (no corrections): -184.7 eV/cell
Total moment: 2.1 μB/f.u.
DFT formation energy: 1.5788 eV per atom
V: 19.373 Å³/atom

abc: 4.5925 4.5925 4.5925
angles: 90.00 90.00 90.00
Last column: nearest neighbours and their distance in Å.
Atoms (fractional coordinates):
Cr  0.0000  0.0000  0.0000  12 Ru 3.25
Ru  0.0000  0.5000  0.5000  2 W 2.30
Ru  0.5000  0.0000  0.5000  2 W 2.30
Ru  0.5000  0.5000  0.0000  2 W 2.30
W  0.5000  0.5000  0.5000  6 Ru 2.30